DFT (PBE-GGA) results for a relaxed Pr4ErTm6 crystal.

a b c (Å): 3.532 10.938 10.938
angles (deg): 120.00 90.00 90.00
Atoms (fractional coordinates):
Tm (0.000, 0.496, 0.992)
Tm (0.000, 0.008, 0.504)
Tm (0.500, 0.168, 0.832)
Tm (0.000, 0.496, 0.504)
Tm (0.500, 0.663, 0.832)
Tm (0.500, 0.168, 0.337)
Er (0.000, 0.000, 0.000)
Pr (0.000, 0.333, 0.667)
Pr (0.500, 0.390, 0.195)
Pr (0.500, 0.805, 0.610)
Pr (0.500, 0.805, 0.195)

Summary:
The formation energy is 169 meV/atom. The calculation puts the total magnetization at 0.01 μB per formula unit. The calculated total energy is -4.42 eV per atom. Its energy above the most stable polymorph in this dataset is 0.00 eV/f.u.